1.
Density functional theory data (PBE) for an optimized crystal structure of CuAgSbOs.

a = 4.532 Å, b = 4.532 Å, c = 4.532 Å
α = 60.00°, β = 60.00°, γ = 60.00°
Positions (direct):
Cu 0.000 0.000 0.000
Ag 0.250 0.250 0.250
Sb 0.750 0.750 0.750
Os 0.500 0.500 0.500

Properties
Symmetry: F-43m (216)
Magnetization, Bohr magnetons per cell: 0.0
Excess energy over the best structure of this formula in the dataset, eV/f.u.: 0.000



2.
Density functional theory data (PBE) for an optimized crystal structure of Sm2MgO4.

a = 6.713 Å, b = 6.713 Å, c = 6.713 Å
α = 60.00°, β = 60.00°, γ = 60.00°
Positions (direct):
Sm 0.000 0.000 0.000
Sm 0.000 0.000 0.500
Sm 0.000 0.500 0.000
Sm 0.500 0.000 0.000
Mg 0.375 0.375 0.375
Mg 0.625 0.625 0.625
O 0.241 0.753 0.753
O 0.247 0.247 0.247
O 0.247 0.247 0.759
O 0.247 0.759 0.247
O 0.753 0.241 0.753
O 0.753 0.753 0.241
O 0.753 0.753 0.753
O 0.759 0.247 0.247

Properties
Symmetry: Fd-3m (227)
Calculated total energy, eV per atom: -7.403
Magnetization, Bohr magnetons per cell: 0.0



3.
Density functional theory data (PBE) for an optimized crystal structure of ZrTlPtSe3.

a = 8.444 Å, b = 3.825 Å, c = 10.240 Å
α = 90.00°, β = 112.57°, γ = 90.00°
Positions (direct):
Zr 0.195 0.250 0.174
Zr 0.805 0.750 0.826
Tl 0.237 0.750 0.724
Tl 0.763 0.250 0.276
Pt 0.387 0.750 0.409
Pt 0.613 0.250 0.591
Se 0.061 0.250 0.880
Se 0.221 0.250 0.444
Se 0.417 0.750 0.166
Se 0.583 0.250 0.834
Se 0.779 0.750 0.556
Se 0.939 0.750 0.120

Properties
Symmetry: P2_1/m (11)
Calculated total energy, eV per atom: -5.379
Magnetization, Bohr magnetons per cell: 0.0



4.
Density functional theory data (PBE) for an optimized crystal structure of Zr2Tc3Os.

a = 5.193 Å, b = 5.193 Å, c = 8.793 Å
α = 90.00°, β = 90.00°, γ = 120.00°
Positions (direct):
Zr 0.333 0.667 0.064
Zr 0.333 0.667 0.436
Zr 0.667 0.333 0.564
Zr 0.667 0.333 0.936
Tc 0.172 0.344 0.750
Tc 0.172 0.828 0.750
Tc 0.344 0.172 0.250
Tc 0.656 0.828 0.750
Tc 0.828 0.172 0.250
Tc 0.828 0.656 0.250
Os 0.000 0.000 0.000
Os 0.000 0.000 0.500

Properties
Symmetry: P6_3/mmc (194)
Formation energy, meV/atom: -356
Magnetization, Bohr magnetons per cell: 0.0



5.
Density functional theory data (PBE) for an optimized crystal structure of RbZrAgTeSe2.

a = 8.889 Å, b = 4.113 Å, c = 10.684 Å
α = 90.00°, β = 112.11°, γ = 90.00°
Positions (direct):
Rb 0.243 0.250 0.295
Rb 0.757 0.750 0.705
Zr 0.293 0.750 0.827
Zr 0.707 0.250 0.173
Ag 0.076 0.250 0.602
Ag 0.924 0.750 0.398
Te 0.448 0.750 0.131
Te 0.552 0.250 0.869
Se 0.108 0.250 0.857
Se 0.256 0.750 0.569
Se 0.744 0.250 0.431
Se 0.892 0.750 0.143

Properties
Symmetry: P2_1/m (11)
Magnetization, Bohr magnetons per cell: 0.0
Excess energy over the best structure of this formula in the dataset, eV/f.u.: 0.303



6.
Density functional theory data (PBE) for an optimized crystal structure of K2NaZnCl6.

a = 7.219 Å, b = 7.219 Å, c = 7.219 Å
α = 121.67°, β = 121.67°, γ = 87.13°
Positions (direct):
K 0.250 0.750 0.500
K 0.750 0.250 0.500
Na 0.000 0.000 0.000
Zn 0.500 0.500 0.000
Cl 0.200 0.672 0.873
Cl 0.263 0.263 0.000
Cl 0.328 0.200 0.528
Cl 0.672 0.800 0.472
Cl 0.737 0.737 0.000
Cl 0.800 0.328 0.127

Properties
Symmetry: I4/m (87)
Calculated total energy, eV per atom: -2.957